(1)
Compound: RbNbTe2AuSe
Source: OQMD
Functional: GGA-PBE
Structure: optimized geometry

POSCAR file:
```
RbNbTe2AuSe
1.0
6.2534 0.5124 -5.7872
-7.7815 1.8728 2.9665
3.9176 8.3951 4.9764
Te Au Nb Se Rb
4 2 2 2 2
direct
0.3765 0.6235 0.9713 Te
0.6235 0.3765 0.4713 Te
0.3765 0.6235 0.5287 Te
0.6235 0.3765 0.0287 Te
0.5428 0.4572 0.2500 Au
0.4572 0.5428 0.7500 Au
0.0000 0.0000 0.5000 Nb
0.0000 0.0000 0.0000 Nb
0.9390 0.0610 0.2500 Se
0.0610 0.9390 0.7500 Se
0.7529 0.2471 0.7500 Rb
0.2471 0.7529 0.2500 Rb
```

Results
E: -53.46 eV for the cell shown
volume: 29.1 Å³/atom



(2)
Compound: TbPrZr2Sb2
Source: OQMD
Functional: GGA-PBE
Structure: optimized geometry

POSCAR file:
```
TbPrZr2Sb2
1.0
0.7853 5.6647 6.9800
-4.8205 3.2015 6.9238
3.0116 -6.7353 -5.1954
Tb Zr Pr Sb
1 2 1 2
direct
0.6754 0.6754 0.0000 Tb
0.5009 0.0009 0.5000 Zr
0.0009 0.5009 0.5000 Zr
0.3212 0.3212 0.0000 Pr
0.1300 0.1300 0.0000 Sb
0.8715 0.8715 0.0000 Sb
```

Results
E: -39.58 eV for the cell shown
volume: 26.5 Å³/atom